Entry from Alexandria via LeMat-Bulk: a geometry-optimized MgSnAu4 structure (PBE). Values from VASP.

Quantum ESPRESSO input file:
```
&SYSTEM
  ibrav = 0, nat = 6, ntyp = 3
/
ATOMIC_SPECIES
Mg 24.30 Mg.upf
Sn 118.71 Sn.upf
Au 196.97 Au.upf
CELL_PARAMETERS angstrom
4.820 0.000 0.000
-2.410 4.174 0.000
0.000 0.000 5.882
ATOMIC_POSITIONS crystal
Mg 0.000 0.000 0.000
Sn 0.000 0.000 0.500
Au 0.333 0.667 0.242
Au 0.333 0.667 0.758
Au 0.667 0.333 0.242
Au 0.667 0.333 0.758
```

## Properties
Crystal system = hexagonal
E above lowest polymorph = 0.005 eV per atom
DFT total energy = -3.30 eV per atom
N(E_F) = 1.94 states/eV per cell
Mass density = 13.1 Mg/m³